CePmCd6 | PBE | optimized geometry

Properties
SG: Amm2
Energy, Ha/atom: -0.083

Geometry as POSCAR:
```
CePmCd6
1.0
4.978 0.000 0.000
0.000 3.499 5.735
0.000 -3.499 5.735
Ce Pm Cd
1 1 6
direct
0.000 0.000 0.000
0.500 0.301 0.301
0.000 0.483 0.483
0.000 0.516 0.959
0.000 0.959 0.516
0.500 0.340 0.787
0.500 0.787 0.340
0.500 0.820 0.820
```

Ce2PmCd8 | PBE | optimized geometry

Properties
SG: C2/m
Energy, Ha/atom: -0.087

Geometry as POSCAR:
```
Ce2PmCd8
1.0
4.239 -7.959 0.000
4.239 7.959 0.000
-3.405 0.000 4.162
Ce Pm Cd
2 1 8
direct
0.191 0.809 0.000
0.809 0.191 0.000
0.500 0.500 0.500
0.001 0.001 0.753
0.147 0.399 0.772
0.299 0.701 0.500
0.399 0.147 0.772
0.601 0.853 0.228
0.701 0.299 0.500
0.853 0.601 0.228
0.999 0.999 0.247
```

CePm6Cd | PBE | optimized geometry

Properties
SG: I4/mmm
Energy, Ha/atom: -0.162

Geometry as POSCAR:
```
CePm6Cd
1.0
-2.507 2.507 10.218
2.507 -2.507 10.218
2.507 2.507 -10.218
Ce Pm Cd
1 6 1
direct
0.000 0.000 0.000
0.120 0.620 0.500
0.247 0.247 0.000
0.380 0.880 0.500
0.620 0.120 0.500
0.753 0.753 0.000
0.880 0.380 0.500
0.500 0.500 0.000
```

CePm2Cd | PBE | optimized geometry

Properties
Excess energy over the best structure of this formula in the dataset, meV/atom: 0.0
SG: P4/mmm
Energy, Ha/atom: -0.154

Geometry as POSCAR:
```
CePm2Cd
1.0
3.617 0.000 0.000
0.000 3.617 0.000
0.000 0.000 9.020
Ce Pm Cd
1 2 1
direct
0.000 0.000 0.000
0.500 0.500 0.264
0.500 0.500 0.736
0.000 0.000 0.500
```

CePmCd2 | PBE | optimized geometry

Properties
Excess energy over the best structure of this formula in the dataset, meV/atom: 18.7
SG: P4/mmm
Energy, Ha/atom: -0.122

Geometry as POSCAR:
```
CePmCd2
1.0
4.813 0.000 0.000
0.000 4.813 0.000
0.000 0.000 4.671
Ce Pm Cd
1 1 2
direct
0.000 0.000 0.000
0.500 0.500 0.000
0.000 0.500 0.500
0.500 0.000 0.500
```

CePm2Cd | PBE | optimized geometry

Properties
Excess energy over the best structure of this formula in the dataset, meV/atom: 66.9
SG: P4/mmm
Energy, Ha/atom: -0.152

Geometry as POSCAR:
```
CePm2Cd
1.0
4.969 0.000 0.000
0.000 4.969 0.000
0.000 0.000 4.793
Ce Pm Cd
1 2 1
direct
0.000 0.000 0.000
0.000 0.500 0.500
0.500 0.000 0.500
0.500 0.500 0.000
```

Values for magnetic moment, μB/f.u., ordered as above
0.98; 1.59; 1.37; 0.30; 1.08; 1.28
Values for N(E_F), states/eV per atom, ordered as above
1.4838; 1.7058; 1.9095; 1.3044; 2.1397; 2.2326
Values for formation energy from the elements, eV per formula unit, ordered as above
-1.98; -2.18; 0.06; -0.46; -0.79; -0.19